No. 1
ScMn2Cd: optimized geometry, PBE.

Summary:
E ... -6.219 eV/atom
Formation energy ... 177 meV per atom

Cell and atoms, written as extended XYZ:
```
4
Lattice="4.9522 0.0042 0.0108 1.4556 4.7334 -0.0108 -3.2096 -2.3610 2.9408" Properties=species:S:1:pos:R:3 pbc="T T T"
Mn 0.0000 0.0000 0.0000
Mn 3.2039 2.3688 0.0000
Cd 0.7249 2.3706 1.4650
Sc 2.4732 0.0060 1.4758
```

***

No. 2
ScMnCd2: optimized geometry, PBE.

Summary:
E ... -4.270 eV/atom
Formation energy ... 63 meV per atom

Cell and atoms, written as extended XYZ:
```
4
Lattice="-2.9755 1.3379 4.2507 -0.5862 -0.5013 5.3026 2.2072 4.0899 2.1375" Properties=species:S:1:pos:R:3 pbc="T T T"
Cd 2.1316 3.9955 2.1442
Cd -1.0221 3.7702 8.9140
Mn -0.7316 2.3321 5.7396
Sc -0.2024 1.3819 2.8760
```